## NpMn2O8 (GGA+U)

Data for an optimized crystal structure of NpMn2O8.

abc: 9.382 6.804 4.028
angles: 90.00 91.32 90.00
Space group C2/m (No. 12)
Asymmetric unit:
Np  0.000  0.000  0.000
Mn  0.115  0.500  0.254
O  0.088  0.500  0.751
O  0.102  0.215  0.234
O  0.186  0.000  0.728

Summary:
- electronic total energy (eV per formula unit) = -83.4

## Np3Mn5O12 (GGA+U)

Data for an optimized crystal structure of Np3Mn5O12.

abc: 12.721 12.721 12.721
angles: 90.00 90.00 90.00
Space group Ia-3d (No. 230)
Asymmetric unit:
Np  0.000  0.250  0.125
Mn  0.000  0.000  0.000
Mn  0.000  0.250  0.375
O  0.020  0.067  0.654

Summary:
- electronic total energy (eV per formula unit) = -179.3